1.
A plane-wave DFT calculation with PBE was carried out for a relaxed V4GaRh crystal.

Properties
* ΔE_f: -0.182 eV per atom
* uncorrected energy: -47.94 eV/f.u.

a = 4.323 Å, b = 4.391 Å, c = 4.877 Å
α = 90.00°, β = 116.31°, γ = 90.00°
Positions (direct):
Rh1 0.000 0.000 0.000
Ga1 0.500 0.500 0.000
V1 0.179 0.500 0.359
V2 0.327 0.000 0.654
V3 0.673 0.000 0.346
V4 0.821 0.500 0.641


2.
A plane-wave DFT calculation with PBE was carried out for a relaxed VGaRh crystal.

Properties
* ΔE_f: -0.378 eV per atom
* uncorrected energy: -20.63 eV/f.u.

a = 2.728 Å, b = 4.246 Å, c = 4.246 Å
α = 120.00°, β = 90.00°, γ = 90.00°
Positions (direct):
Rh1 0.168 0.000 0.000
V1 0.667 0.333 0.667
Ga1 0.165 0.667 0.333


3.
A plane-wave DFT calculation with PBE was carried out for a relaxed V2GaRh crystal.

Properties
* ΔE_f: 0.162 eV per atom
* uncorrected energy: -27.97 eV/f.u.

a = 6.980 Å, b = 6.980 Å, c = 5.532 Å
α = 50.89°, β = 50.89°, γ = 90.00°
Positions (direct):
Ga1 0.250 0.750 0.500
Ga2 0.500 0.500 0.000
V1 0.648 0.125 0.250
V2 0.102 0.625 0.250
V3 0.375 0.352 0.750
Rh1 0.750 0.250 0.500
V4 0.875 0.898 0.750
Rh2 0.000 0.000 0.000